a:
Here is a relaxed structure of Tm6MgSc3 from the Alexandria database. Energies are from PBE.

Output
The calculation puts the total magnetization at 0.00 μB/cell. As for the theoretical density: 6988 kg/m3. The density of states at the Fermi level comes out at 27.316 states/eV/cell.

a = 6.1900 Å, b = 10.7691 Å, c = 10.7691 Å
α = 129.06°, β = 90.00°, γ = 90.00°
Positions (direct):
Tm  0.0630  0.7381  0.6278
Tm  0.5630  0.6278  0.7381
Tm  0.3286  0.4657  0.8985
Tm  0.8286  0.8985  0.4657
Tm  0.3044  0.9831  0.0169
Tm  0.7759  0.2924  0.7076
Tm  0.2759  0.7076  0.2924
Tm  0.8044  0.0169  0.9831
Tm  0.3286  0.1015  0.5343
Tm  0.8286  0.5343  0.1015
Tm  0.0630  0.3722  0.2619
Tm  0.5630  0.2619  0.3722
Mg  0.0555  0.1540  0.8460
Mg  0.5555  0.8460  0.1540
Sc  0.4876  0.9553  0.7051
Sc  0.9876  0.7051  0.9553
Sc  0.0911  0.4129  0.5871
Sc  0.5911  0.5871  0.4129
Sc  0.9876  0.0447  0.2949
Sc  0.4876  0.2949  0.0447

***

b:
Here is a relaxed structure of Tm6MgSc3 from the Alexandria database. Energies are from PBE.

Output
The calculation puts the total magnetization at 0.00 μB/cell. As for the theoretical density: 7020 kg/m3. The density of states at the Fermi level comes out at 31.869 states/eV/cell.

a = 4.8331 Å, b = 10.6581 Å, c = 10.7712 Å
α = 90.66°, β = 90.00°, γ = 90.00°
Positions (direct):
Tm  0.2500  0.4515  0.1013
Tm  0.7500  0.5485  0.8987
Tm  0.2500  0.1510  0.2011
Tm  0.7500  0.8490  0.7989
Tm  0.2500  0.6450  0.6981
Tm  0.7500  0.3550  0.3019
Tm  0.2500  0.2564  0.5040
Tm  0.7500  0.7436  0.4960
Tm  0.2500  0.8432  0.2983
Tm  0.7500  0.1568  0.7017
Tm  0.2500  0.0524  0.9018
Tm  0.7500  0.9476  0.0982
Mg  0.2500  0.9524  0.5945
Mg  0.7500  0.0476  0.4055
Sc  0.2500  0.5497  0.3986
Sc  0.7500  0.4503  0.6014
Sc  0.2500  0.3498  0.8011
Sc  0.7500  0.6502  0.1989
Sc  0.2500  0.7497  0.0009
Sc  0.7500  0.2503  0.9991

***

Energetically preferred structure: b | next structure: +66 meV/atom

***

a:
Here is a relaxed structure of Tm3MgSc3 from the Alexandria database. Energies are from PBE.

Output
The calculation puts the total magnetization at 0.00 μB/cell. As for the theoretical density: 5583 kg/m3. The density of states at the Fermi level comes out at 22.977 states/eV/cell.

a = 5.8615 Å, b = 5.8616 Å, c = 13.7375 Å
α = 77.68°, β = 77.68°, γ = 60.00°
Positions (direct):
Tm  0.9318  0.2677  0.2045
Tm  0.5960  0.9318  0.2045
Tm  0.2677  0.5960  0.2045
Tm  0.7323  0.4040  0.7955
Tm  0.4040  0.0682  0.7955
Tm  0.0682  0.7323  0.7955
Mg  0.6666  0.6666  0.0000
Mg  0.3334  0.3334  0.0000
Sc  0.1972  0.8652  0.4051
Sc  0.5325  0.1972  0.4051
Sc  0.8652  0.5325  0.4051
Sc  0.1348  0.4675  0.5949
Sc  0.4675  0.8028  0.5949
Sc  0.8028  0.1348  0.5949

***

b:
Here is a relaxed structure of Tm3MgSc3 from the Alexandria database. Energies are from PBE.

Output
The calculation puts the total magnetization at 2.63 μB/cell. As for the theoretical density: 5920 kg/m3. The density of states at the Fermi level comes out at 25.814 states/eV/cell.

a = 5.3229 Å, b = 9.0025 Å, c = 9.0025 Å
α = 120.00°, β = 90.00°, γ = 90.00°
Positions (direct):
Tm  0.7500  0.4684  0.3697
Tm  0.7500  0.9013  0.5316
Tm  0.2500  0.3697  0.9013
Tm  0.7500  0.6303  0.0987
Tm  0.2500  0.0987  0.4684
Tm  0.2500  0.5316  0.6303
Mg  0.2500  0.6667  0.3333
Mg  0.7500  0.3333  0.6667
Sc  0.7500  0.1790  0.9481
Sc  0.7500  0.7691  0.8210
Sc  0.2500  0.9481  0.7691
Sc  0.7500  0.0519  0.2309
Sc  0.2500  0.2309  0.1790
Sc  0.2500  0.8210  0.0519

***

Energetically preferred structure: b | next structure: +83 meV/atom

***

a:
Here is a relaxed structure of Tm2Mg8Sc from the Alexandria database. Energies are from PBE.

Output
The calculation puts the total magnetization at 0.00 μB/cell. As for the theoretical density: 3360 kg/m3. The density of states at the Fermi level comes out at 9.273 states/eV/cell.

a = 4.6292 Å, b = 4.6292 Å, c = 13.3113 Å
α = 90.00°, β = 90.00°, γ = 90.00°
Positions (direct):
Tm  0.0000  0.0000  0.3205
Tm  0.0000  0.0000  0.6795
Mg  0.0000  0.5000  0.5000
Mg  0.5000  0.0000  0.5000
Mg  0.5000  0.5000  0.3287
Mg  0.5000  0.5000  0.6713
Mg  0.0000  0.5000  0.1521
Mg  0.5000  0.0000  0.1521
Mg  0.0000  0.5000  0.8479
Mg  0.5000  0.0000  0.8479
Sc  0.0000  0.0000  0.0000

***

b:
Here is a relaxed structure of Tm2Mg8Sc from the Alexandria database. Energies are from PBE.

Output
The calculation puts the total magnetization at 0.00 μB/cell. As for the theoretical density: 3596 kg/m3. The density of states at the Fermi level comes out at 6.400 states/eV/cell.

a = 4.9409 Å, b = 7.2533 Å, c = 9.1632 Å
α = 121.21°, β = 105.64°, γ = 90.00°
Positions (direct):
Tm  0.2236  0.8073  0.4473
Tm  0.7764  0.1927  0.5527
Mg  0.5879  0.7231  0.1759
Mg  0.3268  0.5461  0.6537
Mg  0.1393  0.1264  0.2786
Mg  0.0285  0.3342  0.0571
Mg  0.8607  0.8736  0.7214
Mg  0.6732  0.4539  0.3463
Mg  0.4121  0.2769  0.8241
Mg  0.9715  0.6658  0.9429
Sc  0.5000  0.0000  0.0000

***

Energetically preferred structure: b | next structure: +103 meV/atom

***

a:
Here is a relaxed structure of TmMgSc from the Alexandria database. Energies are from PBE.

Output
The calculation puts the total magnetization at 0.89 μB/cell. As for the theoretical density: 5082 kg/m3. The density of states at the Fermi level comes out at 3.869 states/eV/cell.

a = 3.4329 Å, b = 3.4329 Å, c = 7.0361 Å
α = 104.12°, β = 104.12°, γ = 90.00°
Positions (direct):
Sc  0.3284  0.3284  0.6567
Mg  0.6725  0.6725  0.3449
Tm  0.9992  0.9992  0.9983

***

b:
Here is a relaxed structure of TmMgSc from the Alexandria database. Energies are from PBE.

Output
The calculation puts the total magnetization at 0.00 μB/cell. As for the theoretical density: 5099 kg/m3. The density of states at the Fermi level comes out at 4.031 states/eV/cell.

a = 3.2417 Å, b = 5.2563 Å, c = 5.2563 Å
α = 120.00°, β = 90.00°, γ = 90.00°
Positions (direct):
Sc  0.2643  0.3333  0.6667
Mg  0.0471  0.0000  0.0000
Tm  0.6886  0.6667  0.3333

***

Energetically preferred structure: a | next structure: +81 meV/atom

***

a:
Here is a relaxed structure of TmMgSc from the Alexandria database. Energies are from PBE.

Output
The calculation puts the total magnetization at 0.00 μB/cell. As for the theoretical density: 5100 kg/m3. The density of states at the Fermi level comes out at 7.199 states/eV/cell.

a = 3.3450 Å, b = 3.3472 Å, c = 13.8542 Å
α = 90.00°, β = 90.00°, γ = 90.00°
Positions (direct):
Tm  0.8726  0.2912  0.5032
Tm  0.3726  0.7912  0.0092
Mg  0.8717  0.2911  0.1814
Mg  0.3717  0.7911  0.3307
Sc  0.8730  0.2910  0.8372
Sc  0.3730  0.7911  0.6751

***

b:
Here is a relaxed structure of TmMgSc from the Alexandria database. Energies are from PBE.

Output
The calculation puts the total magnetization at 0.76 μB/cell. As for the theoretical density: 4855 kg/m3. The density of states at the Fermi level comes out at 4.746 states/eV/cell.

a = 9.2496 Å, b = 9.2496 Å, c = 9.2496 Å
α = 20.06°, β = 20.06°, γ = 20.06°
Positions (direct):
Mg  0.1562  0.1562  0.1562
Tm  0.0368  0.0368  0.0368
Sc  0.9202  0.9202  0.9202

***

Energetically preferred structure: a | next structure: +299 meV/atom

***

a:
Here is a relaxed structure of Tm3Mg4Sc from the Alexandria database. Energies are from PBE.

Output
The calculation puts the total magnetization at 0.00 μB/cell. As for the theoretical density: 4999 kg/m3. The density of states at the Fermi level comes out at 9.719 states/eV/cell.

a = 3.2245 Å, b = 6.2524 Å, c = 11.2573 Å
α = 106.12°, β = 98.23°, γ = 90.00°
Positions (direct):
Tm  0.2378  0.2378  0.4757
Tm  0.7622  0.7622  0.5243
Tm  0.0000  0.5000  0.0000
Mg  0.3765  0.6208  0.7529
Mg  0.6235  0.3792  0.2471
Mg  0.6235  0.8679  0.2471
Mg  0.3765  0.1321  0.7529
Sc  0.5000  0.0000  0.0000

***

b:
Here is a relaxed structure of Tm3Mg4Sc from the Alexandria database. Energies are from PBE.

Output
The calculation puts the total magnetization at 0.00 μB/cell. As for the theoretical density: 5260 kg/m3. The density of states at the Fermi level comes out at 10.303 states/eV/cell.

a = 3.7077 Å, b = 3.7077 Å, c = 14.9022 Å
α = 90.00°, β = 90.00°, γ = 90.00°
Positions (direct):
Sc  0.5000  0.5000  0.0000
Mg  0.0000  0.0000  0.8849
Mg  0.0000  0.0000  0.1151
Mg  0.0000  0.0000  0.3725
Mg  0.0000  0.0000  0.6275
Tm  0.5000  0.5000  0.2448
Tm  0.5000  0.5000  0.5000
Tm  0.5000  0.5000  0.7552

***

Energetically preferred structure: b | next structure: +149 meV/atom

***

a:
Here is a relaxed structure of TmMg5Sc2 from the Alexandria database. Energies are from PBE.

Output
The calculation puts the total magnetization at 0.45 μB/cell. As for the theoretical density: 3323 kg/m3. The density of states at the Fermi level comes out at 6.212 states/eV/cell.

a = 5.1200 Å, b = 5.1200 Å, c = 8.1046 Å
α = 108.41°, β = 108.41°, γ = 90.00°
Positions (direct):
Tm  0.0000  0.0000  0.0000
Mg  0.5000  0.5000  0.0000
Mg  0.8725  0.3725  0.7451
Mg  0.3725  0.8725  0.7451
Mg  0.1275  0.6275  0.2549
Mg  0.6275  0.1275  0.2549
Sc  0.7462  0.7462  0.4925
Sc  0.2538  0.2538  0.5075

***

b:
Here is a relaxed structure of TmMg5Sc2 from the Alexandria database. Energies are from PBE.

Output
The calculation puts the total magnetization at 0.01 μB/cell. As for the theoretical density: 3218 kg/m3. The density of states at the Fermi level comes out at 20.272 states/eV/cell.

a = 8.0408 Å, b = 8.0408 Å, c = 8.3178 Å
α = 118.90°, β = 118.90°, γ = 90.00°
Positions (direct):
Tm  0.7500  0.7500  0.5000
Tm  0.2500  0.2500  0.5000
Mg  0.4791  0.6917  0.6708
Mg  0.8083  0.0209  0.3292
Mg  0.0000  0.0000  0.0000
Mg  0.5000  0.5000  0.0000
Mg  0.1917  0.9791  0.6708
Mg  0.6917  0.1917  0.6708
Mg  0.9791  0.4791  0.6708
Mg  0.3083  0.8083  0.3292
Mg  0.0209  0.5209  0.3292
Mg  0.5209  0.3083  0.3292
Sc  0.1537  0.3463  0.0000
Sc  0.6537  0.1537  0.0000
Sc  0.3463  0.8463  0.0000
Sc  0.8463  0.6537  0.0000

***

Energetically preferred structure: a | next structure: +138 meV/atom

***

a:
Here is a relaxed structure of Tm2MgSc2 from the Alexandria database. Energies are from PBE.

Output
The calculation puts the total magnetization at 0.00 μB/cell. As for the theoretical density: 5273 kg/m3. The density of states at the Fermi level comes out at 5.690 states/eV/cell.

a = 4.0288 Å, b = 4.0288 Å, c = 9.2217 Å
α = 102.62°, β = 102.62°, γ = 90.00°
Positions (direct):
Tm  0.4037  0.4037  0.8075
Tm  0.5963  0.5963  0.1925
Mg  0.0000  0.0000  0.0000
Sc  0.7500  0.2500  0.5000
Sc  0.2500  0.7500  0.5000

***

b:
Here is a relaxed structure of Tm2MgSc2 from the Alexandria database. Energies are from PBE.

Output
The calculation puts the total magnetization at 0.01 μB/cell. As for the theoretical density: 5664 kg/m3. The density of states at the Fermi level comes out at 20.001 states/eV/cell.

a = 5.7150 Å, b = 5.3281 Å, c = 10.5967 Å
α = 59.83°, β = 105.64°, γ = 90.00°
Positions (direct):
Tm  0.5903  0.9509  0.7991
Tm  0.2088  0.4509  0.7991
Tm  0.4097  0.0491  0.2009
Tm  0.7912  0.5491  0.2009
Mg  0.8140  0.2500  0.0000
Mg  0.1860  0.7500  0.0000
Sc  0.3824  0.3355  0.4145
Sc  0.9679  0.1645  0.5855
Sc  0.6176  0.6645  0.5855
Sc  0.0321  0.8355  0.4145

***

Energetically preferred structure: b | next structure: +312 meV/atom